P) This record from the Alexandria database describes a relaxed Er2SbIr crystal. The functional is PBE.

Values from the calculation:
Symmetry: No. 166

Lattice parameters (Å, degrees): 5.617 5.617 5.617 49.82 49.82 49.82
Sites, in units of the cell vectors:
Er (0.240, 0.240, 0.240)
Er (0.760, 0.760, 0.760)
Sb (0.000, 0.000, 0.000)
Ir (0.500, 0.500, 0.500)

Q) This record from the Alexandria database describes a relaxed Er2SbIr crystal. The functional is PBE.

Values from the calculation:
Symmetry: No. 123

Lattice parameters (Å, degrees): 3.510 3.510 7.518 90.00 90.00 90.00
Sites, in units of the cell vectors:
Er (0.000, 0.000, 0.216)
Er (0.000, 0.000, 0.784)
Sb (0.500, 0.500, 0.500)
Ir (0.500, 0.500, 0.000)

R) This record from the Alexandria database describes a relaxed Er2SbIr crystal. The functional is PBE.

Values from the calculation:
Symmetry: No. 11

Lattice parameters (Å, degrees): 6.045 4.285 7.971 90.00 110.91 90.00
Sites, in units of the cell vectors:
Er (0.163, 0.250, 0.401)
Er (0.244, 0.750, 0.050)
Er (0.756, 0.250, 0.950)
Er (0.837, 0.750, 0.599)
Sb (0.394, 0.750, 0.710)
Sb (0.606, 0.250, 0.290)
Ir (0.126, 0.250, 0.789)
Ir (0.874, 0.750, 0.211)

Going by the energies, R) is most stable and the next is 154 meV per atom up.

P) This record from the Alexandria database describes a relaxed Er7Sb2Ir2 crystal. The functional is PBE.

Values from the calculation:
Symmetry: No. 44

Lattice parameters (Å, degrees): 9.292 9.292 9.292 155.09 65.35 120.68
Sites, in units of the cell vectors:
Er (0.000, 0.000, 0.000)
Er (0.285, 0.412, 0.873)
Er (0.310, 0.624, 0.686)
Er (0.539, 0.412, 0.127)
Er (0.609, 0.256, 0.353)
Er (0.903, 0.256, 0.647)
Er (0.937, 0.624, 0.314)
Sb (0.254, 0.754, 0.500)
Sb (0.667, 0.667, 0.000)
Ir (0.170, 0.929, 0.241)
Ir (0.688, 0.929, 0.759)

Q) This record from the Alexandria database describes a relaxed Er7Sb2Ir2 crystal. The functional is PBE.

Values from the calculation:
Symmetry: No. 65

Lattice parameters (Å, degrees): 6.782 6.782 7.096 90.00 90.00 99.61
Sites, in units of the cell vectors:
Er (0.000, 0.000, 0.000)
Er (0.000, 0.500, 0.240)
Er (0.000, 0.500, 0.760)
Er (0.500, 0.000, 0.240)
Er (0.500, 0.000, 0.760)
Er (0.500, 0.500, 0.231)
Er (0.500, 0.500, 0.769)
Sb (0.214, 0.214, 0.500)
Sb (0.786, 0.786, 0.500)
Ir (0.277, 0.723, 0.000)
Ir (0.723, 0.277, 0.000)

Going by the energies, P) is most stable and the next is 139 meV per atom up.

P) This record from the Alexandria database describes a relaxed ErSi2Ir4 crystal. The functional is PBE.

Values from the calculation:
Symmetry: No. 62

Lattice parameters (Å, degrees): 16.592 3.992 6.532 90.00 90.00 90.00
Sites, in units of the cell vectors:
Er (0.137, 0.250, 0.023)
Er (0.363, 0.750, 0.523)
Er (0.637, 0.250, 0.477)
Er (0.863, 0.750, 0.977)
Si (0.043, 0.750, 0.260)
Si (0.227, 0.250, 0.532)
Si (0.273, 0.750, 0.032)
Si (0.457, 0.250, 0.760)
Si (0.543, 0.750, 0.240)
Si (0.727, 0.250, 0.968)
Si (0.773, 0.750, 0.468)
Si (0.957, 0.250, 0.740)
Ir (0.028, 0.750, 0.840)
Ir (0.083, 0.250, 0.534)
Ir (0.186, 0.750, 0.324)
Ir (0.191, 0.750, 0.735)
Ir (0.309, 0.250, 0.235)
Ir (0.314, 0.250, 0.824)
Ir (0.417, 0.750, 0.034)
Ir (0.472, 0.250, 0.340)
Ir (0.528, 0.750, 0.660)
Ir (0.583, 0.250, 0.966)
Ir (0.686, 0.750, 0.176)
Ir (0.691, 0.750, 0.765)
Ir (0.809, 0.250, 0.265)
Ir (0.814, 0.250, 0.676)
Ir (0.917, 0.750, 0.466)
Ir (0.972, 0.250, 0.160)

Q) This record from the Alexandria database describes a relaxed ErSi2Ir4 crystal. The functional is PBE.

Values from the calculation:
Symmetry: No. 65

Lattice parameters (Å, degrees): 7.125 7.125 4.012 90.00 90.00 146.77
Sites, in units of the cell vectors:
Er (0.000, 0.000, 0.000)
Si (0.413, 0.587, 0.500)
Si (0.587, 0.413, 0.500)
Ir (0.174, 0.826, 0.500)
Ir (0.320, 0.680, 0.000)
Ir (0.680, 0.320, 0.000)
Ir (0.826, 0.174, 0.500)

Going by the energies, P) is most stable and the next is 43 meV per atom up.

P) This record from the Alexandria database describes a relaxed SrErIr crystal. The functional is PBE.

Values from the calculation:
Symmetry: No. 12

Lattice parameters (Å, degrees): 11.392 11.392 9.223 99.55 99.55 20.13
Sites, in units of the cell vectors:
Sr (0.027, 0.027, 0.212)
Sr (0.392, 0.392, 0.397)
Sr (0.608, 0.608, 0.603)
Sr (0.973, 0.973, 0.788)
Er (0.159, 0.159, 0.965)
Er (0.206, 0.206, 0.373)
Er (0.794, 0.794, 0.627)
Er (0.841, 0.841, 0.035)
Ir (0.211, 0.211, 0.681)
Ir (0.271, 0.271, 0.123)
Ir (0.729, 0.729, 0.877)
Ir (0.789, 0.789, 0.319)

Q) This record from the Alexandria database describes a relaxed SrErIr crystal. The functional is PBE.

Values from the calculation:
Symmetry: No. 107

Lattice parameters (Å, degrees): 7.240 7.240 7.240 151.87 151.87 40.21
Sites, in units of the cell vectors:
Sr (0.000, 0.000, 0.000)
Er (0.251, 0.251, 0.000)
Ir (0.651, 0.651, 0.000)

Going by the energies, Q) is most stable and the next is 158 meV per atom up.

P) This record from the Alexandria database describes a relaxed ErTaIr2 crystal. The functional is PBE.

Values from the calculation:
Symmetry: No. 123

Lattice parameters (Å, degrees): 3.092 3.092 7.556 90.00 90.00 90.00
Sites, in units of the cell vectors:
Er (0.000, 0.000, 0.000)
Ta (0.000, 0.000, 0.500)
Ir (0.500, 0.500, 0.285)
Ir (0.500, 0.500, 0.715)

Q) This record from the Alexandria database describes a relaxed ErTaIr2 crystal. The functional is PBE.

Values from the calculation:
Symmetry: No. 166

Lattice parameters (Å, degrees): 5.135 5.135 5.135 51.36 51.36 51.36
Sites, in units of the cell vectors:
Er (0.000, 0.000, 0.000)
Ta (0.500, 0.500, 0.500)
Ir (0.222, 0.222, 0.222)
Ir (0.778, 0.778, 0.778)

R) This record from the Alexandria database describes a relaxed ErTaIr2 crystal. The functional is PBE.

Values from the calculation:
Symmetry: No. 123

Lattice parameters (Å, degrees): 4.853 4.853 3.021 90.00 90.00 90.00
Sites, in units of the cell vectors:
Er (0.000, 0.000, 0.000)
Ta (0.500, 0.500, 0.000)
Ir (0.000, 0.500, 0.500)
Ir (0.500, 0.000, 0.500)

Going by the energies, P) is most stable and the next is 90 meV per atom up.

P) This record from the Alexandria database describes a relaxed TbEr2Ir crystal. The functional is PBE.

Values from the calculation:
Symmetry: No. 63

Lattice parameters (Å, degrees): 6.331 6.331 9.032 90.00 90.00 144.34
Sites, in units of the cell vectors:
Tb (0.073, 0.927, 0.750)
Tb (0.927, 0.073, 0.250)
Er (0.357, 0.643, 0.566)
Er (0.357, 0.643, 0.934)
Er (0.643, 0.357, 0.066)
Er (0.643, 0.357, 0.434)
Ir (0.252, 0.748, 0.250)
Ir (0.748, 0.252, 0.750)

Q) This record from the Alexandria database describes a relaxed TbEr2Ir crystal. The functional is PBE.

Values from the calculation:
Symmetry: No. 166

Lattice parameters (Å, degrees): 10.668 10.668 10.668 20.06 20.06 20.06
Sites, in units of the cell vectors:
Tb (0.000, 0.000, 0.000)
Er (0.114, 0.114, 0.114)
Er (0.886, 0.886, 0.886)
Ir (0.500, 0.500, 0.500)

R) This record from the Alexandria database describes a relaxed TbEr2Ir crystal. The functional is PBE.

Values from the calculation:
Symmetry: No. 62

Lattice parameters (Å, degrees): 7.216 9.189 6.373 90.00 90.00 90.00
Sites, in units of the cell vectors:
Tb (0.033, 0.250, 0.130)
Tb (0.467, 0.750, 0.630)
Tb (0.533, 0.250, 0.370)
Tb (0.967, 0.750, 0.870)
Er (0.176, 0.063, 0.673)
Er (0.176, 0.437, 0.673)
Er (0.324, 0.563, 0.173)
Er (0.324, 0.937, 0.173)
Er (0.676, 0.063, 0.827)
Er (0.676, 0.437, 0.827)
Er (0.824, 0.563, 0.327)
Er (0.824, 0.937, 0.327)
Ir (0.117, 0.750, 0.451)
Ir (0.383, 0.250, 0.951)
Ir (0.617, 0.750, 0.049)
Ir (0.883, 0.250, 0.549)

Going by the energies, R) is most stable and the next is 37 meV per atom up.

P) This record from the Alexandria database describes a relaxed Tb2ErIr crystal. The functional is PBE.

Values from the calculation:
Symmetry: No. 62

Lattice parameters (Å, degrees): 7.212 9.361 6.363 90.00 90.00 90.00
Sites, in units of the cell vectors:
Tb (0.178, 0.063, 0.175)
Tb (0.178, 0.437, 0.175)
Tb (0.322, 0.563, 0.675)
Tb (0.322, 0.937, 0.675)
Tb (0.678, 0.063, 0.325)
Tb (0.678, 0.437, 0.325)
Tb (0.822, 0.563, 0.825)
Tb (0.822, 0.937, 0.825)
Er (0.035, 0.250, 0.635)
Er (0.465, 0.750, 0.135)
Er (0.535, 0.250, 0.865)
Er (0.965, 0.750, 0.365)
Ir (0.117, 0.750, 0.956)
Ir (0.383, 0.250, 0.456)
Ir (0.617, 0.750, 0.544)
Ir (0.883, 0.250, 0.044)

Q) This record from the Alexandria database describes a relaxed Tb2ErIr crystal. The functional is PBE.

Values from the calculation:
Symmetry: No. 166

Lattice parameters (Å, degrees): 10.703 10.703 10.703 20.06 20.06 20.06
Sites, in units of the cell vectors:
Tb (0.112, 0.112, 0.112)
Tb (0.888, 0.888, 0.888)
Er (0.000, 0.000, 0.000)
Ir (0.500, 0.500, 0.500)

Going by the energies, P) is most stable and the next is 478 meV per atom up.

P) This record from the Alexandria database describes a relaxed Er5Te2Ir crystal. The functional is PBE.

Values from the calculation:
Symmetry: No. 55

Lattice parameters (Å, degrees): 8.100 13.057 4.105 90.00 90.00 90.00
Sites, in units of the cell vectors:
Er (0.000, 0.000, 0.000)
Er (0.163, 0.316, 0.000)
Er (0.169, 0.585, 0.500)
Er (0.331, 0.085, 0.500)
Er (0.337, 0.816, 0.000)
Er (0.500, 0.500, 0.000)
Er (0.663, 0.184, 0.000)
Er (0.669, 0.915, 0.500)
Er (0.831, 0.415, 0.500)
Er (0.837, 0.684, 0.000)
Te (0.040, 0.822, 0.500)
Te (0.460, 0.322, 0.500)
Te (0.540, 0.678, 0.500)
Te (0.960, 0.178, 0.500)
Ir (0.000, 0.500, 0.000)
Ir (0.500, 0.000, 0.000)

Q) This record from the Alexandria database describes a relaxed Er5Te2Ir crystal. The functional is PBE.

Values from the calculation:
Symmetry: No. 63

Lattice parameters (Å, degrees): 8.481 8.481 13.357 90.00 90.00 143.89
Sites, in units of the cell vectors:
Er (0.097, 0.903, 0.613)
Er (0.097, 0.903, 0.887)
Er (0.261, 0.739, 0.250)
Er (0.311, 0.689, 0.572)
Er (0.311, 0.689, 0.928)
Er (0.689, 0.311, 0.072)
Er (0.689, 0.311, 0.428)
Er (0.739, 0.261, 0.750)
Er (0.903, 0.097, 0.113)
Er (0.903, 0.097, 0.387)
Te (0.092, 0.908, 0.115)
Te (0.092, 0.908, 0.385)
Te (0.908, 0.092, 0.615)
Te (0.908, 0.092, 0.885)
Ir (0.220, 0.780, 0.750)
Ir (0.780, 0.220, 0.250)

Going by the energies, P) is most stable and the next is 306 meV per atom up.

P) This record from the Alexandria database describes a relaxed Er7Te2Ir2 crystal. The functional is PBE.

Values from the calculation:
Symmetry: No. 44

Lattice parameters (Å, degrees): 9.343 9.343 9.343 155.85 66.27 119.34
Sites, in units of the cell vectors:
Er (0.000, 0.000, 0.000)
Er (0.286, 0.418, 0.868)
Er (0.313, 0.628, 0.685)
Er (0.550, 0.418, 0.132)
Er (0.623, 0.270, 0.353)
Er (0.916, 0.270, 0.647)
Er (0.944, 0.628, 0.315)
Te (0.264, 0.764, 0.500)
Te (0.663, 0.663, 0.000)
Ir (0.166, 0.928, 0.238)
Ir (0.690, 0.928, 0.762)

Q) This record from the Alexandria database describes a relaxed Er7Te2Ir2 crystal. The functional is PBE.

Values from the calculation:
Symmetry: No. 65

Lattice parameters (Å, degrees): 6.778 6.778 7.125 90.00 90.00 100.31
Sites, in units of the cell vectors:
Er (0.000, 0.000, 0.000)
Er (0.000, 0.500, 0.239)
Er (0.000, 0.500, 0.761)
Er (0.500, 0.000, 0.239)
Er (0.500, 0.000, 0.761)
Er (0.500, 0.500, 0.230)
Er (0.500, 0.500, 0.770)
Te (0.214, 0.214, 0.500)
Te (0.786, 0.786, 0.500)
Ir (0.277, 0.723, 0.000)
Ir (0.723, 0.277, 0.000)

Going by the energies, P) is most stable and the next is 198 meV per atom up.